Record 1
La2MgAl3Au4 | PBE-GGA | relaxed

Unit cell a=4.537 b=4.537 c=10.523 alpha=90.00 beta=90.00 gamma=90.00
Space group P-4m2 (No. 115)
One atom of each set of equivalent atoms:
La  0.000  0.500  0.242
Mg  0.000  0.000  0.500
Al  0.000  0.500  0.873
Al  0.500  0.500  0.500
Au  0.000  0.000  0.000
Au  0.000  0.500  0.634
Au  0.500  0.500  0.000

## Properties
The formation energy is -730 meV per atom. Its theoretical density is 8.98 Mg/m³.

=====

Record 2
LaMgAl2Au4 | PBE-GGA | relaxed

Unit cell a=4.5036 b=4.5036 c=27.3404 alpha=90.00 beta=90.00 gamma=120.00
Space group R-3m (No. 166, hexagonal axes)
One atom of each set of equivalent atoms:
La  0.0000  0.0000  0.0000
Mg  0.0000  0.0000  0.5000
Al  0.0000  0.0000  0.2391
Au  0.0000  0.0000  0.1330
Au  0.0000  0.0000  0.3987

## Properties
The formation energy is -620 meV per atom. Its theoretical density is 10.43 Mg/m³.

=====

Record 3
LaMgAlAu6 | PBE-GGA | relaxed

Unit cell a=7.473 b=9.432 c=10.838 alpha=90.00 beta=90.00 gamma=90.00
Space group Imma (No. 74)
One atom of each set of equivalent atoms:
La  0.000  0.250  0.222
Mg  0.250  0.250  0.750
Al  0.000  0.000  0.000
Au  0.000  0.250  0.536
Au  0.000  0.250  0.927
Au  0.200  0.012  0.373

## Properties
The formation energy is -398 meV per atom. Its theoretical density is 11.93 Mg/m³.

=====

Record 4
LaMgAlAu | PBE-GGA | relaxed

Unit cell a=7.182 b=7.182 c=7.182 alpha=90.00 beta=90.00 gamma=90.00
Space group F-43m (No. 216)
One atom of each set of equivalent atoms:
La  0.000  0.000  0.000
Mg  0.000  0.000  0.500
Al  0.250  0.250  0.750
Au  0.250  0.250  0.250

## Properties
The formation energy is -487 meV per atom. Its theoretical density is 6.94 Mg/m³.